No. 1
A geometry-optimized SrLi3Hg structure, computed with PBE.

```
data_SrLi3Hg
_chemical_formula_sum 'Sr2 Li6 Hg2'
_cell_length_a 4.774
_cell_length_b 7.396
_cell_length_c 7.573
_cell_angle_alpha 77.00
_cell_angle_beta 90.00
_cell_angle_gamma 90.00
_space_group_name_H-M_alt 'P 1'
_space_group_IT_number 1
loop_
_space_group_symop_operation_xyz
'x,y,z'
loop_
_atom_site_label
_atom_site_type_symbol
_atom_site_fract_x
_atom_site_fract_y
_atom_site_fract_z
Li1 Li 0.881 0.666 0.515
Li2 Li 0.881 0.689 0.878
Li3 Li 0.881 0.254 0.034
Li4 Li 0.381 0.008 0.291
Li5 Li 0.381 0.421 0.773
Li6 Li 0.381 0.986 0.928
Sr1 Sr 0.881 0.134 0.579
Sr2 Sr 0.381 0.541 0.227
Hg1 Hg 0.881 0.880 0.154
Hg2 Hg 0.381 0.794 0.651
```

ΔE_f ... -0.20 eV per atom
Spin magnetization ... 0.00 μB/f.u.
Total DFT energy (no corrections) ... -1.744 eV/atom
E above lowest polymorph ... 0 meV/atom

No. 2
A geometry-optimized LaGa3Mo structure, computed with PBE.

```
data_LaGa3Mo
_chemical_formula_sum 'La1 Ga3 Mo1'
_cell_length_a 5.413
_cell_length_b 5.413
_cell_length_c 5.413
_cell_angle_alpha 90.00
_cell_angle_beta 90.00
_cell_angle_gamma 90.00
_space_group_name_H-M_alt 'P 1'
_space_group_IT_number 1
loop_
_space_group_symop_operation_xyz
'x,y,z'
loop_
_atom_site_label
_atom_site_type_symbol
_atom_site_fract_x
_atom_site_fract_y
_atom_site_fract_z
Ga1 Ga 0.500 0.000 0.000
Ga2 Ga 0.000 0.500 0.000
Ga3 Ga 0.000 0.000 0.500
Mo1 Mo 0.500 0.500 0.500
La1 La 0.000 0.000 0.000
```

ΔE_f ... 1.83 eV per atom
Spin magnetization ... 0.11 μB/f.u.
Total DFT energy (no corrections) ... -3.135 eV/atom

No. 3
A geometry-optimized BeVOs structure, computed with PBE.

```
data_BeVOs
_chemical_formula_sum 'Be1 V1 Os1'
_cell_length_a 2.613
_cell_length_b 4.057
_cell_length_c 4.057
_cell_angle_alpha 120.00
_cell_angle_beta 90.00
_cell_angle_gamma 90.00
_space_group_name_H-M_alt 'P 1'
_space_group_IT_number 1
loop_
_space_group_symop_operation_xyz
'x,y,z'
loop_
_atom_site_label
_atom_site_type_symbol
_atom_site_fract_x
_atom_site_fract_y
_atom_site_fract_z
V1 V 0.687 0.333 0.667
Be1 Be 0.316 0.667 0.333
Os1 Os 0.997 0.000 0.000
```

ΔE_f ... -0.14 eV per atom
Spin magnetization ... 0.00 μB/f.u.
Total DFT energy (no corrections) ... -8.166 eV/atom
E above lowest polymorph ... 220 meV/atom

Question: total DFT energy (no corrections) of number 3 (BeVOs)?
Answer: -8.166 eV/atom